# 1
Th3Bi2Os after structural relaxation. Source: Alexandria, functional PBE.

- ΔE to the lowest computed polymorph: 36 meV/atom
- Magnetic moment: 0.0 μB/f.u.
- Crystal system: tetragonal
- ρ: 11.46 g/cm3
- Formation energy from the elements: -444 meV/atom

Cell: 4.4597 4.4597 19.0048 Å, 90.00 90.00 90.00°
Last column: nearest neighbours and their distance in Å.
Space group I4/mmm (No. 139)
Symmetry-distinct sites (fractional):
Th  0.0000  0.0000  0.0000 [2 per cell]  4 Os 3.15, 2 Bi 3.41
Th  0.0000  0.0000  0.3602 [4 per cell]  1 Os 2.66
Bi  0.0000  0.0000  0.1793 [4 per cell]  6 Th 3.24-3.44
Os  0.0000  0.0000  0.5000 [2 per cell]  2 Th 2.66

=====

# 2
GaAgGe2 after structural relaxation. Source: Alexandria, functional PBE.

- Magnetic moment: 0.0 μB/f.u.
- Crystal system: tetragonal
- ρ: 7.08 g/cm3
- Formation energy from the elements: 194 meV/atom

Cell: 4.3362 4.3362 4.0277 Å, 90.00 90.00 90.00°
Last column: nearest neighbours and their distance in Å.
Space group P4/mmm (No. 123)
Symmetry-distinct sites (fractional):
Ga  0.0000  0.0000  0.0000 [1 per cell]  8 Ge 2.96, 4 Ag 3.07
Ag  0.5000  0.5000  0.0000 [1 per cell]  8 Ge 2.96, 4 Ga 3.07
Ge  0.0000  0.5000  0.5000 [2 per cell]  4 Ga 2.96, 4 Ag 2.96, 4 Ge 3.07

=====

Question: What is the formula in the first record?
Answer: Th3Bi2Os

=====

Question: Which of these has the highest ρ?
Answer: Th3Bi2Os